[1]
Here is CeEr2Nb after structural relaxation from Alexandria. Energies are from PBE.

Cell and atoms, written as POSCAR:
```
CeEr2Nb
1.0
0.000 3.724 3.724
3.724 0.000 3.724
3.724 3.724 0.000
Ce Er Nb
1 2 1
Direct
0.000 0.000 0.000 Ce
0.250 0.250 0.250 Er
0.750 0.750 0.750 Er
0.500 0.500 0.500 Nb
```

DOS(E_F): 2.191 states/eV per atom



[2]
Here is CeErNb4 after structural relaxation from Alexandria. Energies are from PBE.

Cell and atoms, written as POSCAR:
```
CeErNb4
1.0
0.000 4.040 4.040
4.040 0.000 4.040
4.040 4.040 0.000
Ce Er Nb
1 1 4
Direct
0.000 0.000 0.000 Ce
0.250 0.250 0.250 Er
0.124 0.625 0.625 Nb
0.625 0.124 0.625 Nb
0.625 0.625 0.124 Nb
0.625 0.625 0.625 Nb
```

DOS(E_F): 1.417 states/eV per atom



[3]
Here is CeNd7Er4 after structural relaxation from Alexandria. Energies are from PBE.

Cell and atoms, written as POSCAR:
```
CeNd7Er4
1.0
9.451 -3.545 0.000
9.451 3.545 0.000
-0.054 0.000 6.030
Ce Nd Er
1 7 4
Direct
0.000 0.000 0.000 Ce
0.000 0.000 0.500 Nd
0.187 0.187 0.751 Nd
0.289 0.289 0.256 Nd
0.464 0.464 0.247 Nd
0.536 0.536 0.753 Nd
0.711 0.711 0.744 Nd
0.813 0.813 0.249 Nd
0.130 0.597 0.755 Er
0.403 0.870 0.245 Er
0.597 0.130 0.755 Er
0.870 0.403 0.245 Er
```

DOS(E_F): 2.013 states/eV per atom



| no. | energy relative to the elements (eV per atom) |
| --- | --- |
| 1 | 0.33 |
| 2 | 0.17 |
| 3 | 0.14 |